(1)
Here is a relaxed structure of SrBeN from Alexandria via LeMat-Bulk. Energies are from GGA-PBE.

Calculated values
Mass density (g cm⁻³): 4.772
Symmetry: P6_3/mmc
Formation energy (no corrections) (meV per atom): -296.8

Cell and atoms, written as POSCAR:
```
SrBeN
1.0
-0.161 0.170 -3.155
-2.480 -1.057 1.655
-3.130 8.292 0.608
N Be Sr
2 2 2
Cartesian
-3.282 5.980 -1.096 N
-2.489 1.425 0.204 N
-1.716 1.834 -1.400 Be
-4.055 5.571 0.508 Be
0.000 0.000 0.000 Sr
-1.565 4.146 0.304 Sr
```

(2)
Here is a relaxed structure of CaIn4As from Alexandria via LeMat-Bulk. Energies are from GGA-PBE.

Calculated values
E_form (eV/atom): 0.0012
Mass density (g cm⁻³): 5.856
Symmetry: F-43m

Cell and atoms, written as POSCAR:
```
CaIn4As
1.0
0.000 4.334 4.334
4.334 0.000 4.334
4.334 4.334 0.000
As In Ca
1 4 1
Cartesian
6.501 6.501 6.501 As
5.415 3.254 5.415 In
3.254 3.254 3.254 In
3.254 5.415 5.415 In
5.415 5.415 3.254 In
0.000 0.000 0.000 Ca
```

(3)
Here is a relaxed structure of LiReTcNi from Alexandria via LeMat-Bulk. Energies are from GGA-PBE.

Calculated values
E_form (eV/atom): 0.1236
Mass density (g cm⁻³): 11.064
Symmetry: F-43m

Cell and atoms, written as POSCAR:
```
LiReTcNi
1.0
4.203 0.000 0.000
2.102 3.640 0.000
2.102 1.213 3.432
Tc Li Ni Re
1 1 1 1
Cartesian
4.203 2.427 1.716 Tc
2.102 1.213 0.858 Li
0.000 0.000 0.000 Ni
6.305 3.640 2.574 Re
```

(4)
Here is a relaxed structure of SrCoCl from Alexandria via LeMat-Bulk. Energies are from GGA-PBE.

Calculated values
Mass density (g cm⁻³): 5.121
Symmetry: P6_3/mmc
Formation energy (no corrections) (meV per atom): -224.5

Cell and atoms, written as POSCAR:
```
SrCoCl
1.0
-3.572 1.425 0.926
0.387 -3.758 -1.172
1.164 -2.461 8.276
Cl Sr Co
2 2 2
Cartesian
-0.642 -2.645 1.596 Cl
-1.379 -2.148 6.434 Cl
0.582 -1.230 4.138 Sr
0.000 0.000 0.000 Sr
-1.961 -0.918 2.296 Co
-0.060 -3.876 5.734 Co
```

(5)
Here is a relaxed structure of SbP3 from Alexandria via LeMat-Bulk. Energies are from GGA-PBE.

Calculated values
Energy above the lowest structure with this stoichiometry (meV/atom): 507
Mass density (g cm⁻³): 5.099
Symmetry: Fm-3m
Formation energy (no corrections) (meV per atom): 705.5

Cell and atoms, written as POSCAR:
```
SbP3
1.0
-1.389 -4.362 0.653
2.830 -3.507 -1.036
1.869 -2.540 3.382
P Sb
3 1
Cartesian
2.482 -7.807 2.249 P
0.000 0.000 0.000 P
1.655 -5.204 1.499 P
0.827 -2.602 0.750 Sb
```

(6)
Here is a relaxed structure of AlTl2Br from Alexandria via LeMat-Bulk. Energies are from GGA-PBE.

Calculated values
Energy above the lowest structure with this stoichiometry (meV/atom): 11
Mass density (g cm⁻³): 7.324
Symmetry: Cm
Formation energy (no corrections) (meV per atom): -77.6

Cell and atoms, written as POSCAR:
```
AlTl2Br
1.0
-0.990 -6.070 1.129
2.036 -5.829 -0.987
3.007 0.331 4.339
Al Tl Br
1 2 1
Cartesian
2.389 -5.580 2.782 Al
0.378 0.030 0.544 Tl
2.663 -8.714 2.816 Tl
0.651 -3.089 0.579 Br
```

(7)
Here is a relaxed structure of Mg3CdN from Alexandria via LeMat-Bulk. Energies are from GGA-PBE.

Calculated values
Energy above the lowest structure with this stoichiometry (meV/atom): 0
Mass density (g cm⁻³): 3.958
Symmetry: Pm-3m
Formation energy (no corrections) (meV per atom): -331.6

Cell and atoms, written as POSCAR:
```
Mg3CdN
1.0
4.373 0.000 0.000
0.000 4.373 0.000
0.000 0.000 4.373
Cd Mg N
1 3 1
Cartesian
2.187 2.187 2.187 Cd
2.187 0.000 0.000 Mg
0.000 0.000 2.187 Mg
0.000 2.187 0.000 Mg
0.000 0.000 0.000 N
```

(8)
Here is a relaxed structure of YGaC2N from Alexandria via LeMat-Bulk. Energies are from GGA-PBE.

Calculated values
Mass density (g cm⁻³): 2.727
Symmetry: P4/mmm
Formation energy (no corrections) (meV per atom): 2868.1

Cell and atoms, written as POSCAR:
```
YGaC2N
1.0
4.402 0.000 0.000
0.000 6.179 0.000
0.000 0.000 4.402
Ga C Y N
1 2 1 1
Cartesian
0.000 3.089 0.000 Ga
2.201 0.000 0.000 C
0.000 0.000 2.201 C
0.000 0.000 0.000 Y
2.201 3.089 2.201 N
```

(9)
Here is a relaxed structure of Ho6Sb2TeAs3 from Alexandria via LeMat-Bulk. Energies are from GGA-PBE.

Calculated values
Mass density (g cm⁻³): 8.209
Symmetry: C2/m
Formation energy (no corrections) (meV per atom): -1376.1

Cell and atoms, written as POSCAR:
```
Ho6Sb2TeAs3
1.0
4.209 0.000 0.000
0.000 8.496 0.260
-2.105 -2.497 8.891
As Ho Sb Te
3 6 2 1
Cartesian
0.000 6.256 3.159 As
2.105 4.248 0.130 As
2.105 -0.256 5.993 As
0.000 6.231 6.057 Ho
2.105 -0.208 8.891 Ho
2.105 4.223 3.055 Ho
0.000 1.777 6.096 Ho
0.000 6.208 0.260 Ho
2.105 -0.231 3.094 Ho
0.000 1.991 3.040 Sb
2.105 4.009 6.111 Sb
2.105 0.000 0.000 Te
```

(10)
Here is a relaxed structure of B2Pd2N from Alexandria via LeMat-Bulk. Energies are from GGA-PBE.

Calculated values
Energy above the lowest structure with this stoichiometry (meV/atom): 133
Mass density (g cm⁻³): 7.474
Symmetry: P4/mbm
Formation energy (no corrections) (meV per atom): 814.8

Cell and atoms, written as POSCAR:
```
B2Pd2N
1.0
6.096 0.000 0.000
0.000 6.096 0.000
0.000 0.000 2.972
Pd N B
4 2 4
Cartesian
1.637 4.685 0.000 Pd
1.411 1.637 0.000 Pd
4.459 1.411 0.000 Pd
4.685 4.459 0.000 Pd
0.000 0.000 0.000 N
3.048 3.048 0.000 N
5.532 2.484 1.486 B
2.484 0.564 1.486 B
0.564 3.612 1.486 B
3.612 5.532 1.486 B
```

(11)
Here is a relaxed structure of Dy7TlGa5 from Alexandria via LeMat-Bulk. Energies are from GGA-PBE.

Calculated values
E_form (eV/atom): -0.3718
Mass density (g cm⁻³): 8.613
Symmetry: Imm2

Cell and atoms, written as POSCAR:
```
Dy7TlGa5
1.0
6.244 0.000 0.000
3.122 7.225 0.098
3.122 0.074 7.225
Dy Ga Tl
7 5 1
Cartesian
9.365 4.965 2.434 Dy
6.244 2.553 2.561 Dy
6.244 1.194 5.781 Dy
9.365 2.418 4.973 Dy
6.244 5.777 1.213 Dy
3.122 1.644 1.649 Dy
6.244 5.187 5.204 Dy
10.900 7.261 3.655 Ga
10.900 3.632 7.273 Ga
9.365 5.389 5.407 Ga
7.830 3.632 7.273 Ga
7.830 7.261 3.655 Ga
6.244 0.183 0.184 Tl
```

Number 1: DOS(E_F) 0.4277 states/eV/atom, total magnetic moment 0.00 μB/f.u., uncorrected energy -29.25 eV/cell. Number 2: DOS(E_F) 0.5800 states/eV/atom, total magnetic moment 0.00 μB/f.u., uncorrected energy -17.60 eV/cell. Number 3: DOS(E_F) 1.1107 states/eV/atom, total magnetic moment 0.35 μB/f.u., uncorrected energy -30.01 eV/cell. Number 4: DOS(E_F) 0.5767 states/eV/atom, total magnetic moment 0.00 μB/f.u., uncorrected energy -22.62 eV/cell. Number 5: DOS(E_F) 0.8197 states/eV/atom, total magnetic moment 0.00 μB/f.u., uncorrected energy -17.53 eV/cell. Number 6: DOS(E_F) 0.5172 states/eV/atom, total magnetic moment 0.00 μB/f.u., uncorrected energy -10.46 eV/cell. Number 7: DOS(E_F) 0.3227 states/eV/atom, total magnetic moment 0.00 μB/f.u., uncorrected energy -15.68 eV/cell. Number 8: DOS(E_F) 0.7681 states/eV/atom, total magnetic moment 3.07 μB/f.u., uncorrected energy -21.92 eV/cell. Number 9: DOS(E_F) 0.1786 states/eV/atom, total magnetic moment 0.00 μB/f.u., uncorrected energy -69.32 eV/cell. Number 10: DOS(E_F) 0.2875 states/eV/atom, total magnetic moment 0.95 μB/f.u., uncorrected energy -55.98 eV/cell. Number 11: DOS(E_F) 0.6719 states/eV/atom, total magnetic moment 0.00 μB/f.u., uncorrected energy -54.55 eV/cell.